[1]
# MnCr2Se (PBE, relaxed)
data_MnCr2Se
_symmetry_space_group_name_H-M 'P 1 m 1'
_symmetry_Int_Tables_number 6
_symmetry_space_group_name_Hall 'P -2y'
_cell_length_a 2.8027
_cell_length_b 3.9166
_cell_length_c 4.7190
_cell_angle_alpha 90.00
_cell_angle_beta 103.48
_cell_angle_gamma 90.00
loop_
_atom_site_label
_atom_site_fract_x
_atom_site_fract_y
_atom_site_fract_z
Mn1 0.0000 0.0000 0.0000
Cr1 0.3475 0.5000 0.7915
Cr2 0.6153 0.0000 0.5280
Se1 0.0448 0.5000 0.2812
# Mass density: 7.842 g/cm3
# Calculated total energy: -30.692 eV per cell
# ΔE_f (raw): 1.21 eV/f.u.


[2]
# CeLuThMg (PBE, relaxed)
data_CeLuThMg
_symmetry_space_group_name_H-M 'F -4 3 m'
_symmetry_Int_Tables_number 216
_symmetry_space_group_name_Hall 'F -4 2 3'
_cell_length_a 7.7344
_cell_length_b 7.7344
_cell_length_c 7.7344
_cell_angle_alpha 90.00
_cell_angle_beta 90.00
_cell_angle_gamma 90.00
loop_
_atom_site_label
_atom_site_fract_x
_atom_site_fract_y
_atom_site_fract_z
Ce1 0.0000 0.0000 0.0000
Lu1 0.0000 0.0000 0.5000
Th1 0.2500 0.2500 0.7500
Mg1 0.2500 0.2500 0.2500
# Mass density: 8.203 g/cm3
# Calculated total energy: -74.919 eV per cell


[3]
# Al2Ir2Pb (PBE, relaxed)
data_Al2Ir2Pb
_symmetry_space_group_name_H-M 'I 4/m m m'
_symmetry_Int_Tables_number 139
_symmetry_space_group_name_Hall '-I 4 2'
_cell_length_a 4.2726
_cell_length_b 4.2726
_cell_length_c 10.4036
_cell_angle_alpha 90.00
_cell_angle_beta 90.00
_cell_angle_gamma 90.00
loop_
_atom_site_label
_atom_site_fract_x
_atom_site_fract_y
_atom_site_fract_z
Al1 0.0000 0.0000 0.1321
Ir1 0.0000 0.5000 0.2500
Pb1 0.0000 0.0000 0.5000
# Mass density: 11.289 g/cm3
# Energy above the lowest structure with this stoichiometry: 0.179 eV/atom
# Calculated total energy: -59.972 eV per cell


[4]
# PaSnRu (PBE, relaxed)
data_PaSnRu
_symmetry_space_group_name_H-M 'P m m a'
_symmetry_Int_Tables_number 51
_symmetry_space_group_name_Hall '-P 2a 2a'
_cell_length_a 12.9147
_cell_length_b 3.8810
_cell_length_c 7.7169
_cell_angle_alpha 90.00
_cell_angle_beta 90.00
_cell_angle_gamma 90.00
loop_
_atom_site_label
_atom_site_fract_x
_atom_site_fract_y
_atom_site_fract_z
Pa1 0.0442 0.0000 0.2206
Pa2 0.2500 0.0000 0.8327
Sn1 0.1194 0.5000 0.5496
Sn2 0.2500 0.5000 0.1723
Ru1 0.0991 0.5000 0.9044
Ru2 0.2500 0.0000 0.4215
# Mass density: 11.612 g/cm3
# Calculated total energy: -145.306 eV per cell


[5]
# PmCdCuNi (PBE, relaxed)
data_PmCdCuNi
_symmetry_space_group_name_H-M 'F -4 3 m'
_symmetry_Int_Tables_number 216
_symmetry_space_group_name_Hall 'F -4 2 3'
_cell_length_a 6.6980
_cell_length_b 6.6980
_cell_length_c 6.6980
_cell_angle_alpha 90.00
_cell_angle_beta 90.00
_cell_angle_gamma 90.00
loop_
_atom_site_label
_atom_site_fract_x
_atom_site_fract_y
_atom_site_fract_z
Pm1 0.0000 0.0000 0.0000
Cd1 0.0000 0.0000 0.5000
Cu1 0.2500 0.2500 0.2500
Ni1 0.2500 0.2500 0.7500
# Mass density: 8.392 g/cm3
# Calculated total energy: -64.726 eV per cell


[6]
# Cr2Cu2PdS6 (PBE, relaxed)
data_Cr2Cu2PdS6
_symmetry_space_group_name_H-M 'C 1 2/m 1'
_symmetry_Int_Tables_number 12
_symmetry_space_group_name_Hall '-C 2y'
_cell_length_a 6.1169
_cell_length_b 10.4192
_cell_length_c 6.4363
_cell_angle_alpha 90.00
_cell_angle_beta 114.63
_cell_angle_gamma 90.00
loop_
_atom_site_label
_atom_site_fract_x
_atom_site_fract_y
_atom_site_fract_z
Cr1 0.0000 0.1695 0.0000
Cu1 0.0000 0.3342 0.5000
Pd1 0.0000 0.5000 0.0000
S1 0.2180 0.5000 0.7688
S2 0.2238 0.1761 0.7663
# Mass density: 4.719 g/cm3
# Calculated total energy: -122.624 eV per cell
# ΔE_f (raw): -3.92 eV/f.u.


[7]
# KMn2CuCl8 (PBE, relaxed)
data_KMn2CuCl8
_symmetry_space_group_name_H-M 'P -3'
_symmetry_Int_Tables_number 147
_symmetry_space_group_name_Hall '-P 3'
_cell_length_a 6.5262
_cell_length_b 6.5262
_cell_length_c 8.8333
_cell_angle_alpha 90.00
_cell_angle_beta 90.00
_cell_angle_gamma 120.00
loop_
_atom_site_label
_atom_site_fract_x
_atom_site_fract_y
_atom_site_fract_z
K1 0.0000 0.0000 0.0000
Mn1 0.3333 0.6667 0.7325
Cu1 0.0000 0.0000 0.5000
Cl1 0.0213 0.3095 0.6648
Cl2 0.3333 0.6667 0.9842
# Mass density: 2.529 g/cm3
# Calculated total energy: -50.446 eV per cell
# ΔE_f (raw): -12.14 eV/f.u.


[8]
# Zr2CrTcAs (PBE, relaxed)
data_Zr2CrTcAs
_symmetry_space_group_name_H-M 'P 4/m m m'
_symmetry_Int_Tables_number 123
_symmetry_space_group_name_Hall '-P 4 2'
_cell_length_a 4.9044
_cell_length_b 4.9044
_cell_length_c 4.2754
_cell_angle_alpha 90.00
_cell_angle_beta 90.00
_cell_angle_gamma 90.00
loop_
_atom_site_label
_atom_site_fract_x
_atom_site_fract_y
_atom_site_fract_z
Zr1 0.0000 0.5000 0.0000
Cr1 0.0000 0.0000 0.0000
Tc1 0.0000 0.0000 0.5000
As1 0.5000 0.5000 0.5000
# Mass density: 6.578 g/cm3
# Calculated total energy: -39.349 eV per cell


[9]
# MnSb2TeOs (PBE, relaxed)
data_MnSb2TeOs
_symmetry_space_group_name_H-M 'P 4/m m m'
_symmetry_Int_Tables_number 123
_symmetry_space_group_name_Hall '-P 4 2'
_cell_length_a 4.9895
_cell_length_b 4.9895
_cell_length_c 5.8830
_cell_angle_alpha 90.00
_cell_angle_beta 90.00
_cell_angle_gamma 90.00
loop_
_atom_site_label
_atom_site_fract_x
_atom_site_fract_y
_atom_site_fract_z
Mn1 0.0000 0.0000 0.0000
Sb1 0.0000 0.5000 0.5000
Te1 0.5000 0.5000 0.0000
Os1 0.5000 0.5000 0.5000
# Mass density: 6.988 g/cm3
# Energy above the lowest structure with this stoichiometry: 0.000 eV/atom
# Calculated total energy: -27.382 eV per cell
# ΔE_f (raw): 4.40 eV/f.u.


[10]
# CeNpRh2 (PBE, relaxed)
data_CeNpRh2
_symmetry_space_group_name_H-M 'R -3 m'
_symmetry_Int_Tables_number 166
_symmetry_space_group_name_Hall '-R 3 2"'
_cell_length_a 4.0750
_cell_length_b 4.0750
_cell_length_c 18.6281
_cell_angle_alpha 90.00
_cell_angle_beta 90.00
_cell_angle_gamma 120.00
loop_
_atom_site_label
_atom_site_fract_x
_atom_site_fract_y
_atom_site_fract_z
Ce1 0.0000 0.0000 0.0000
Np1 0.0000 0.0000 0.5000
Rh1 0.0000 0.0000 0.2429
# Mass density: 10.840 g/cm3
# Calculated total energy: -105.505 eV per cell


[11]
# LiLa2P2 (PBE, relaxed)
data_LiLa2P2
_symmetry_space_group_name_H-M 'P 4/m b m'
_symmetry_Int_Tables_number 127
_symmetry_space_group_name_Hall '-P 4 2ab'
_cell_length_a 8.1702
_cell_length_b 8.1702
_cell_length_c 3.7216
_cell_angle_alpha 90.00
_cell_angle_beta 90.00
_cell_angle_gamma 90.00
loop_
_atom_site_label
_atom_site_fract_x
_atom_site_fract_y
_atom_site_fract_z
Li1 0.0000 0.0000 0.0000
La1 0.1419 0.3581 0.0000
P1 0.1628 0.6628 0.5000
# Mass density: 4.635 g/cm3
# Energy above the lowest structure with this stoichiometry: 0.293 eV/atom
# Calculated total energy: -53.817 eV per cell


[12]
# SrCu2Mo (PBE, relaxed)
data_SrCu2Mo
_symmetry_space_group_name_H-M 'I -4 m 2'
_symmetry_Int_Tables_number 119
_symmetry_space_group_name_Hall 'I -4 -2'
_cell_length_a 4.0215
_cell_length_b 4.0215
_cell_length_c 9.2947
_cell_angle_alpha 90.00
_cell_angle_beta 90.00
_cell_angle_gamma 90.00
loop_
_atom_site_label
_atom_site_fract_x
_atom_site_fract_y
_atom_site_fract_z
Sr1 0.0000 0.0000 0.0000
Cu1 0.0000 0.0000 0.5000
Cu2 0.0000 0.5000 0.7500
Mo1 0.0000 0.5000 0.2500
# Mass density: 6.864 g/cm3
# Energy above the lowest structure with this stoichiometry: 0.442 eV/atom
# Calculated total energy: -34.635 eV per cell